A relaxed CsGa2Pd2 crystal. Source: the Alexandria database, functional PBE.

Output
- E_form (meV/atom) = -334
- mass density (Mg/m³) = 5.44
- offset from the most stable computed form (meV/atom) = 0.0
- total magnetic moment (μB per atom) = 0.000
- electronic total energy (eV/atom) = -3.793
- symmetry = I4/mmm (139)

```
CsGa2Pd2
1.0
4.8110 0.0000 0.0000
0.0000 4.8110 0.0000
2.4055 2.4055 6.3960
Cs Ga Pd
1 2 2
direct
0.0000 0.0000 0.0000 Cs
0.2985 0.2985 0.4030 Ga
0.7015 0.7015 0.5970 Ga
0.7500 0.2500 0.5000 Pd
0.2500 0.7500 0.5000 Pd
```

A relaxed CsGa3Pd crystal. Source: the Alexandria database, functional PBE.

Output
- E_form (meV/atom) = 1511
- mass density (Mg/m³) = 3.63
- offset from the most stable computed form (meV/atom) = 1601.9
- total magnetic moment (μB per atom) = 0.000
- electronic total energy (eV/atom) = -1.515
- symmetry = Pm-3m (221)

```
CsGa3Pd
1.0
5.8984 0.0000 0.0000
0.0000 5.8984 0.0000
0.0000 0.0000 5.8984
Cs Ga Pd
1 3 1
direct
0.0000 0.0000 0.0000 Cs
0.0000 0.5000 0.0000 Ga
0.0000 0.0000 0.5000 Ga
0.5000 0.0000 0.0000 Ga
0.5000 0.5000 0.5000 Pd
```

A relaxed CsGa2Pd crystal. Source: the Alexandria database, functional PBE.

Output
- E_form (meV/atom) = 344
- mass density (Mg/m³) = 6.33
- total magnetic moment (μB per atom) = 0.000
- electronic total energy (eV/atom) = -2.681
- symmetry = Fm-3m (225)

```
CsGa2Pd
1.0
-0.0094 -4.6500 -2.3240
-3.3172 -0.9567 -3.8865
1.7656 -0.4774 -4.8661
Cs Ga Pd
1 2 1
direct
0.5000 0.5000 0.5000 Cs
0.2500 0.2500 0.2500 Ga
0.7500 0.7500 0.7500 Ga
0.0000 0.0000 0.0000 Pd
```

A relaxed Cs2Ga2Pd crystal. Source: the Alexandria database, functional PBE.

Output
- E_form (meV/atom) = 46
- mass density (Mg/m³) = 5.55
- total magnetic moment (μB per atom) = 0.000
- electronic total energy (eV/atom) = -2.545
- symmetry = P4/mbm (127)

```
Cs2Ga2Pd
1.0
-6.1559 2.4343 -2.2337
-2.2977 -6.5486 -0.8042
-2.1297 0.0233 5.8948
Cs Ga Pd
4 4 2
direct
0.1903 0.6903 0.5000 Cs
0.6903 0.8097 0.5000 Cs
0.8097 0.3097 0.5000 Cs
0.3097 0.1903 0.5000 Cs
0.3606 0.8606 0.0000 Ga
0.8606 0.6394 0.0000 Ga
0.6394 0.1394 0.0000 Ga
0.1394 0.3606 0.0000 Ga
0.0000 0.0000 0.0000 Pd
0.5000 0.5000 0.0000 Pd
```

A relaxed Cs2GaPdSe4 crystal. Source: the Alexandria database, functional PBE.

Output
- mass density (Mg/m³) = 4.54
- total magnetic moment (μB per atom) = 0.000
- electronic total energy (eV/atom) = -3.718
- symmetry = Fddd (70)

```
Cs2GaPdSe4
1.0
-2.5160 6.4977 -0.9682
-7.3901 1.0425 0.6438
0.0706 5.4941 11.1307
Cs Ga Pd Se
4 2 2 8
direct
0.1835 0.0000 0.6330 Cs
0.8165 0.0000 0.3670 Cs
0.5665 0.5000 0.8670 Cs
0.9335 0.5000 0.1330 Cs
0.2500 0.5000 0.5000 Ga
0.5000 0.0000 0.0000 Ga
0.7500 0.5000 0.5000 Pd
0.0000 0.0000 0.0000 Pd
0.2763 0.8428 0.1152 Se
0.2343 0.1572 0.8848 Se
0.8809 0.8428 0.8848 Se
0.6084 0.1572 0.1152 Se
0.4737 0.6572 0.3848 Se
0.5157 0.3428 0.6152 Se
0.8691 0.6572 0.6152 Se
0.1416 0.3428 0.3848 Se
```

A relaxed CsSr2GaPd crystal. Source: the Alexandria database, functional PBE.

Output
- E_form (meV/atom) = -193
- mass density (Mg/m³) = 4.31
- offset from the most stable computed form (meV/atom) = 0.0
- total magnetic moment (μB per atom) = 0.000
- electronic total energy (eV/atom) = -2.680
- symmetry = P4/mmm (123)

```
CsSr2GaPd
1.0
6.0696 0.0000 0.0000
0.0000 6.0696 0.0000
0.0000 0.0000 5.0682
Cs Sr Ga Pd
1 2 1 1
direct
0.5000 0.5000 0.5000 Cs
0.0000 0.5000 0.0000 Sr
0.5000 0.0000 0.0000 Sr
0.0000 0.0000 0.5000 Ga
0.0000 0.0000 0.0000 Pd
```

A relaxed CsSr2GaPd crystal. Source: the Alexandria database, functional PBE.

Output
- E_form (meV/atom) = -30
- mass density (Mg/m³) = 4.12
- offset from the most stable computed form (meV/atom) = 162.4
- total magnetic moment (μB per atom) = 0.053
- electronic total energy (eV/atom) = -2.518
- symmetry = P4/mmm (123)

```
CsSr2GaPd
1.0
6.2954 0.0000 0.0000
0.0000 4.9210 0.0000
0.0000 0.0000 6.2954
Cs Sr Ga Pd
1 2 1 1
direct
0.5000 0.5000 0.5000 Cs
0.0000 0.0000 0.5000 Sr
0.5000 0.0000 0.0000 Sr
0.0000 0.0000 0.0000 Ga
0.0000 0.5000 0.0000 Pd
```

A relaxed CsTlGa2Pd crystal. Source: the Alexandria database, functional PBE.

Output
- E_form (meV/atom) = -73
- mass density (Mg/m³) = 6.67
- total magnetic moment (μB per atom) = 0.000
- electronic total energy (eV/atom) = -2.966
- symmetry = P4/mmm (123)

```
CsTlGa2Pd
1.0
5.0655 0.0000 0.0000
0.0000 5.0655 0.0000
0.0000 0.0000 5.6598
Cs Tl Ga Pd
1 1 2 1
direct
0.5000 0.5000 0.5000 Cs
0.0000 0.0000 0.5000 Tl
0.0000 0.5000 0.0000 Ga
0.5000 0.0000 0.0000 Ga
0.0000 0.0000 0.0000 Pd
```

A relaxed CsTl2GaPd crystal. Source: the Alexandria database, functional PBE.

Output
- E_form (meV/atom) = -69
- mass density (Mg/m³) = 7.55
- total magnetic moment (μB per atom) = 0.000
- electronic total energy (eV/atom) = -2.830
- symmetry = P4/mmm (123)

```
CsTl2GaPd
1.0
-4.5395 3.1125 0.9568
0.5498 -0.8853 5.4885
2.9079 4.1262 0.3743
Cs Tl Ga Pd
1 2 1 1
direct
0.5000 0.5000 0.5000 Cs
0.0000 0.5000 0.0000 Tl
0.5000 0.0000 0.0000 Tl
0.0000 0.0000 0.5000 Ga
0.0000 0.0000 0.0000 Pd
```

A relaxed CsZn2GaPd crystal. Source: the Alexandria database, functional PBE.

Output
- E_form (meV/atom) = -142
- mass density (Mg/m³) = 5.67
- total magnetic moment (μB per atom) = 0.000
- electronic total energy (eV/atom) = -2.467
- symmetry = P4/mmm (123)

```
CsZn2GaPd
1.0
-1.3400 4.8206 1.0702
-0.7683 -1.2989 4.8890
4.6947 1.0776 1.0240
Cs Zn Ga Pd
1 2 1 1
direct
0.5000 0.5000 0.5000 Cs
0.0000 0.5000 0.0000 Zn
0.5000 0.0000 0.0000 Zn
0.0000 0.0000 0.5000 Ga
0.0000 0.0000 0.0000 Pd
```

A relaxed Cs2PmGaSe4 crystal. Source: the Alexandria database, functional PBE.

Output
- mass density (Mg/m³) = 4.53
- total magnetic moment (μB per atom) = 0.000
- electronic total energy (eV/atom) = -4.004
- symmetry = C2/c (15)

```
Cs2PmGaSe4
1.0
-6.9737 -3.5380 -3.2828
5.4888 -3.4520 -5.4666
1.2024 -5.0659 6.6621
Cs Pm Ga Se
4 2 2 8
direct
0.5000 0.0000 0.0000 Cs
0.5000 0.0000 0.5000 Cs
0.0000 0.0000 0.5000 Cs
0.5000 0.5000 0.0000 Cs
0.0000 0.5000 0.0000 Pm
0.0000 0.5000 0.5000 Pm
0.5000 0.5000 0.5000 Ga
0.0000 0.0000 0.0000 Ga
0.1430 0.7271 0.8138 Se
0.7729 0.3570 0.6862 Se
0.2271 0.6429 0.3138 Se
0.8571 0.2729 0.1862 Se
0.8370 0.8058 0.0832 Se
0.6942 0.6630 0.4168 Se
0.3058 0.3370 0.5832 Se
0.1630 0.1942 0.9168 Se
```

A relaxed Cs4Pr3GaS8 crystal. Source: the Alexandria database, functional PBE.

Output
- mass density (Mg/m³) = 4.33
- total magnetic moment (μB per atom) = 0.000
- electronic total energy (eV/atom) = -4.836
- symmetry = C2/m (12)

```
Cs4Pr3GaS8
1.0
-7.3656 -0.4619 3.8166
-3.3464 -5.2556 -7.0941
6.8776 -2.8652 3.8826
Cs Pr Ga S
4 3 1 8
direct
0.5000 0.0000 0.0000 Cs
0.5000 0.0000 0.5000 Cs
0.0000 0.0000 0.0000 Cs
0.0000 0.0000 0.5000 Cs
0.5000 0.5000 0.0000 Pr
0.5000 0.5000 0.5000 Pr
0.0000 0.5000 0.5000 Pr
0.0000 0.5000 0.0000 Ga
0.2077 0.6753 0.9657 S
0.2276 0.6895 0.4552 S
0.2712 0.3096 0.5423 S
0.7580 0.6753 0.9657 S
0.2420 0.3247 0.0343 S
0.7288 0.6904 0.4577 S
0.7724 0.3105 0.5448 S
0.7923 0.3247 0.0343 S
```

A relaxed Cs2PrGaSe4 crystal. Source: the Alexandria database, functional PBE.

Output
- mass density (Mg/m³) = 4.43
- total magnetic moment (μB per atom) = 0.000
- electronic total energy (eV/atom) = -4.007
- symmetry = C2/c (15)

```
Cs2PrGaSe4
1.0
-7.2004 1.6923 4.2193
3.8521 -4.3109 6.2521
3.9263 7.5127 0.8386
Cs Pr Ga Se
4 2 2 8
direct
0.5000 0.0000 0.0000 Cs
0.5000 0.0000 0.5000 Cs
0.0000 0.0000 0.5000 Cs
0.5000 0.5000 0.0000 Cs
0.0000 0.5000 0.0000 Pr
0.0000 0.5000 0.5000 Pr
0.5000 0.5000 0.5000 Ga
0.0000 0.0000 0.0000 Ga
0.1432 0.7311 0.8124 Se
0.7689 0.3568 0.6876 Se
0.2311 0.6432 0.3124 Se
0.8568 0.2689 0.1876 Se
0.8369 0.8076 0.0856 Se
0.6924 0.6631 0.4144 Se
0.3076 0.3369 0.5856 Se
0.1631 0.1924 0.9144 Se
```

A relaxed Cs3Pr3GaSe8 crystal. Source: the Alexandria database, functional PBE.

Output
- mass density (Mg/m³) = 4.60
- total magnetic moment (μB per atom) = 0.000
- electronic total energy (eV/atom) = -4.531
- symmetry = C2/m (12)

```
Cs3Pr3GaSe8
1.0
8.5966 0.0000 -0.0001
-4.2983 7.4415 -0.0294
0.0000 -4.9261 8.6183
Cs Pr Ga Se
3 3 1 8
direct
0.0000 0.0000 0.0000 Cs
0.0000 0.5000 0.0000 Cs
0.5000 0.5000 0.0000 Cs
0.5000 0.0000 0.5000 Pr
0.5000 0.5000 0.5000 Pr
0.0000 0.5000 0.5000 Pr
0.0000 0.0000 0.5000 Ga
0.2689 0.5378 0.3070 Se
0.7311 0.4622 0.6930 Se
0.7903 0.5805 0.3239 Se
0.2097 0.4195 0.6761 Se
0.7883 0.0342 0.3225 Se
0.2117 0.9658 0.6775 Se
0.2459 0.0342 0.3225 Se
0.7541 0.9658 0.6775 Se
```

A relaxed Cs2PrGaTe4 crystal. Source: the Alexandria database, functional PBE.

Output
- mass density (Mg/m³) = 4.87
- total magnetic moment (μB per atom) = 0.000
- electronic total energy (eV/atom) = -3.728
- symmetry = I-42m (121)

```
Cs2PrGaTe4
1.0
7.6661 0.0000 0.0000
3.8331 6.6256 0.0000
3.8331 0.0000 6.6256
Cs Pr Ga Te
2 1 1 4
direct
0.0000 0.5000 0.5000 Cs
0.5000 0.5000 0.5000 Cs
0.0000 0.0000 0.0000 Pr
0.5000 0.0000 0.0000 Ga
0.1239 0.3268 0.0000 Te
0.8761 0.0000 0.6732 Te
0.5493 0.0000 0.3268 Te
0.4507 0.6732 0.0000 Te
```

A relaxed Cs3Pr3GaTe8 crystal. Source: the Alexandria database, functional PBE.

Output
- mass density (Mg/m³) = 4.79
- total magnetic moment (μB per atom) = 0.000
- electronic total energy (eV/atom) = -4.065
- symmetry = C2/m (12)

```
Cs3Pr3GaTe8
1.0
9.1745 0.0000 0.0000
-4.5873 7.7966 -0.0118
0.0000 -5.1251 9.2658
Cs Pr Ga Te
3 3 1 8
direct
0.0000 0.0000 0.0000 Cs
0.0000 0.5000 0.0000 Cs
0.5000 0.5000 0.0000 Cs
0.5000 0.0000 0.5000 Pr
0.5000 0.5000 0.5000 Pr
0.0000 0.5000 0.5000 Pr
0.0000 0.0000 0.5000 Ga
0.2661 0.5323 0.3012 Te
0.7339 0.4677 0.6988 Te
0.7974 0.5948 0.3247 Te
0.2026 0.4052 0.6753 Te
0.7766 0.0351 0.3113 Te
0.2234 0.9649 0.6887 Te
0.2585 0.0351 0.3113 Te
0.7415 0.9649 0.6887 Te
```

A relaxed CsGa3Pt crystal. Source: the Alexandria database, functional PBE.

Output
- E_form (meV/atom) = -168
- mass density (Mg/m³) = 6.96
- offset from the most stable computed form (meV/atom) = 118.4
- total magnetic moment (μB per atom) = 0.000
- electronic total energy (eV/atom) = -3.363
- symmetry = Pm-3m (221)

```
CsGa3Pt
1.0
5.0415 0.0000 0.0000
0.0000 5.0415 0.0000
0.0000 0.0000 5.0415
Cs Ga Pt
1 3 1
direct
0.5000 0.5000 0.5000 Cs
0.0000 0.5000 0.0000 Ga
0.0000 0.0000 0.5000 Ga
0.5000 0.0000 0.0000 Ga
0.0000 0.0000 0.0000 Pt
```

A relaxed CsGa3Pt2 crystal. Source: the Alexandria database, functional PBE.

Output
- E_form (meV/atom) = -335
- mass density (Mg/m³) = 7.41
- total magnetic moment (μB per atom) = 0.000
- electronic total energy (eV/atom) = -4.004
- symmetry = C2/c (15)

```
CsGa3Pt2
1.0
4.5064 0.0000 0.6096
-2.2532 8.0987 -0.3048
1.2850 0.0000 9.1641
Cs Ga Pt
2 6 4
direct
0.2228 0.4457 0.2500 Cs
0.7772 0.5543 0.7500 Cs
0.5879 0.1759 0.9989 Ga
0.0625 0.1249 0.7500 Ga
0.5879 0.1759 0.5011 Ga
0.9375 0.8751 0.2500 Ga
0.4121 0.8241 0.0011 Ga
0.4121 0.8241 0.4989 Ga
0.0000 0.0000 0.0000 Pt
0.0000 0.0000 0.5000 Pt
0.5126 0.0253 0.2500 Pt
0.4874 0.9747 0.7500 Pt
```

A relaxed CsGa2Pt2 crystal. Source: the Alexandria database, functional PBE.

Output
- E_form (meV/atom) = -130
- mass density (Mg/m³) = 10.53
- offset from the most stable computed form (meV/atom) = 358.9
- total magnetic moment (μB per atom) = 0.000
- electronic total energy (eV/atom) = -3.927
- symmetry = P4/mbm (127)

```
CsGa2Pt2
1.0
-2.3764 8.0217 0.5726
-7.8395 -2.1775 -2.0307
-0.6357 -0.3936 2.8762
Cs Ga Pt
2 4 4
direct
0.0000 0.0000 0.0000 Cs
0.5000 0.5000 0.0000 Cs
0.1218 0.6218 0.5000 Ga
0.6218 0.8782 0.5000 Ga
0.8782 0.3782 0.5000 Ga
0.3782 0.1218 0.5000 Ga
0.3493 0.8493 0.0000 Pt
0.8493 0.6507 0.0000 Pt
0.6507 0.1507 0.0000 Pt
0.1507 0.3493 0.0000 Pt
```

A relaxed CsGaPt2 crystal. Source: the Alexandria database, functional PBE.

Output
- E_form (meV/atom) = 58
- mass density (Mg/m³) = 8.57
- total magnetic moment (μB per atom) = 0.000
- electronic total energy (eV/atom) = -3.933
- symmetry = I-42d (122)

```
CsGaPt2
1.0
-7.7720 0.1999 -0.3826
-0.2072 -7.7799 0.1446
-4.1740 -3.7147 3.6656
Cs Ga Pt
2 2 4
direct
0.0000 0.0000 0.0000 Cs
0.7500 0.2500 0.5000 Cs
0.5000 0.5000 0.0000 Ga
0.2500 0.7500 0.5000 Ga
0.5124 0.1250 0.2500 Pt
0.2376 0.6250 0.2500 Pt
0.3750 0.4876 0.7500 Pt
0.8750 0.7624 0.7500 Pt
```